Record 1
Density functional theory data (PBE) for PrErCl after structural relaxation.

For the energy relative to the elements, uncorrected, the calculation gives -0.90 eV per atom.

The space group is P3m1 (No. 156) and the conventional cell measures 3.6991, 3.6991 and 7.2581 Å, with angles of 90.00, 90.00 and 120.00 degrees. The inequivalent atoms are Pr at (0.0000, 0.0000, 0.0000), Er at (0.3333, 0.6667, 0.3805) and Cl at (0.6667, 0.3333, 0.6640).

Record 2
Density functional theory data (PBE) for Si2AgTe after structural relaxation.

For the energy relative to the elements, uncorrected, the calculation gives 0.54 eV per atom. For the energy relative to the lowest polymorph listed for this composition, the calculation gives 0.282 eV per atom.

The space group is Pmmm (No. 47) and the conventional cell measures 2.932, 4.142 and 6.773 Å, with angles of 90.00, 90.00 and 90.00 degrees. The inequivalent atoms are Si at (0.000, 0.000, 0.192), Ag at (0.500, 0.500, 0.000) and Te at (0.500, 0.500, 0.500).

Record 3
Density functional theory data (PBE) for ErPuAgOs after structural relaxation.

As for the formation enthalpy at 0 K: -0.067 eV/atom.

The space group is F-43m (No. 216) and the conventional cell measures 6.977, 6.977 and 6.977 Å, with angles of 90.00, 90.00 and 90.00 degrees. The inequivalent atoms are Er at (0.000, 0.000, 0.000), Pu at (0.000, 0.000, 0.500), Ag at (0.250, 0.250, 0.750) and Os at (0.250, 0.250, 0.250).

Record 4
Density functional theory data (PBE) for Si4P4Ru after structural relaxation.

For the energy relative to the elements, uncorrected, the calculation gives -0.36 eV per atom.

The space group is P1 (No. 1) and the conventional cell measures 4.968, 5.662 and 6.206 Å, with angles of 85.62, 68.29 and 70.78 degrees. The inequivalent atoms are Si at (0.000, 0.000, 0.000), Si at (0.121, 0.251, 0.449), Si at (0.433, 0.432, 0.794), Si at (0.607, 0.629, 0.257), P at (0.104, 0.883, 0.326), P at (0.384, 0.067, 0.690), P at (0.529, 0.298, 0.131), P at (0.922, 0.671, 0.886) and Ru at (0.762, 0.656, 0.567).

Record 5
Density functional theory data (PBE) for NdNi2B2 after structural relaxation.

As for the formation enthalpy at 0 K: -0.230 eV/atom.

The space group is Imma (No. 74) and the conventional cell measures 3.454, 3.903 and 18.165 Å, with angles of 90.00, 90.00 and 90.00 degrees. The inequivalent atoms are Nd at (0.000, 0.250, 0.169), Ni at (0.000, 0.250, 0.454), Ni at (0.000, 0.250, 0.950), B at (0.000, 0.250, 0.615) and B at (0.000, 0.250, 0.723).

Record 6
Density functional theory data (PBE) for SmY3Tl4 after structural relaxation.

As for the formation enthalpy at 0 K: -0.378 eV/atom.

The space group is P4/mmm (No. 123) and the conventional cell measures 5.423, 5.423 and 7.560 Å, with angles of 90.00, 90.00 and 90.00 degrees. The inequivalent atoms are Sm at (0.000, 0.000, 0.000), Y at (0.000, 0.000, 0.500), Y at (0.500, 0.500, 0.000), Y at (0.500, 0.500, 0.500) and Tl at (0.000, 0.500, 0.253).

Record 7
Density functional theory data (PBE) for Ca4Cu3Hg after structural relaxation.

As for the formation enthalpy at 0 K: -0.224 eV/atom.

The space group is Pmm2 (No. 25) and the conventional cell measures 4.191, 4.310 and 11.244 Å, with angles of 90.00, 90.00 and 90.00 degrees. The inequivalent atoms are Ca at (0.000, 0.000, 0.000), Ca at (0.000, 0.500, 0.272), Ca at (0.500, 0.000, 0.481), Ca at (0.500, 0.500, 0.785), Cu at (0.000, 0.500, 0.553), Cu at (0.500, 0.000, 0.192), Cu at (0.500, 0.500, 0.077) and Hg at (0.000, 0.000, 0.705).

Record 8
Density functional theory data (PBE) for In2CoTcRu after structural relaxation.

As for the formation enthalpy at 0 K: 1.036 eV/atom.

The space group is P4/mmm (No. 123) and the conventional cell measures 4.766, 4.766 and 4.437 Å, with angles of 90.00, 90.00 and 90.00 degrees. The inequivalent atoms are In at (0.000, 0.500, 0.000), Co at (0.000, 0.000, 0.000), Tc at (0.000, 0.000, 0.500) and Ru at (0.500, 0.500, 0.500).

Record 9
Density functional theory data (PBE) for LuPuCdBi after structural relaxation.

As for the formation enthalpy at 0 K: -0.222 eV/atom.

The space group is F-43m (No. 216) and the conventional cell measures 7.590, 7.590 and 7.590 Å, with angles of 90.00, 90.00 and 90.00 degrees. The inequivalent atoms are Lu at (0.000, 0.000, 0.000), Pu at (0.000, 0.000, 0.500), Cd at (0.250, 0.250, 0.750) and Bi at (0.250, 0.250, 0.250).

Record 10
Density functional theory data (PBE) for Al3Cr5 after structural relaxation.

For the energy relative to the lowest polymorph listed for this composition, the calculation gives 0.000 eV per atom. As for the formation enthalpy at 0 K: -0.037 eV/atom.

The space group is Cmmm (No. 65) and the conventional cell measures 6.014, 8.520 and 4.232 Å, with angles of 90.00, 90.00 and 90.00 degrees. The inequivalent atoms are Al at (0.000, 0.000, 0.000), Al at (0.000, 0.252, 0.500), Cr at (0.000, 0.500, 0.000), Cr at (0.245, 0.500, 0.500) and Cr at (0.250, 0.250, 0.000).

Record 11
Density functional theory data (PBE) for Ir4W after structural relaxation.

As for the formation enthalpy at 0 K: -0.031 eV/atom.

The space group is R-3m (No. 166, hexagonal axes) and the conventional cell measures 2.7672, 2.7672 and 33.5869 Å, with angles of 90.00, 90.00 and 120.00 degrees. The inequivalent atoms are Ir at (0.0000, 0.0000, 0.1001), Ir at (0.0000, 0.0000, 0.3008) and W at (0.0000, 0.0000, 0.5000).

Record 12
Density functional theory data (PBE) for Tb3Zn9Ni2 after structural relaxation.

As for the formation enthalpy at 0 K: -0.340 eV/atom.

The space group is Immm (No. 71) and the conventional cell measures 4.274, 9.013 and 12.617 Å, with angles of 90.00, 90.00 and 90.00 degrees. The inequivalent atoms are Tb at (0.000, 0.000, 0.000), Tb at (0.000, 0.000, 0.307), Zn at (0.000, 0.282, 0.125), Zn at (0.000, 0.358, 0.339), Zn at (0.000, 0.500, 0.000) and Ni at (0.000, 0.188, 0.500).

Record 13
Density functional theory data (PBE) for ScPa2Ga9 after structural relaxation.

As for the formation enthalpy at 0 K: -0.418 eV/atom.

The space group is P4/mmm (No. 123) and the conventional cell measures 4.260, 4.260 and 12.630 Å, with angles of 90.00, 90.00 and 90.00 degrees. The inequivalent atoms are Sc at (0.000, 0.000, 0.000), Pa at (0.000, 0.000, 0.328), Ga at (0.000, 0.500, 0.158), Ga at (0.000, 0.500, 0.500), Ga at (0.500, 0.500, 0.000) and Ga at (0.500, 0.500, 0.333).

Record 14
Density functional theory data (PBE) for TbYTmZn after structural relaxation.

For the energy relative to the lowest polymorph listed for this composition, the calculation gives 0.197 eV per atom. As for the formation enthalpy at 0 K: 0.032 eV/atom.

The space group is F-43m (No. 216) and the conventional cell measures 7.524, 7.524 and 7.524 Å, with angles of 90.00, 90.00 and 90.00 degrees. The inequivalent atoms are Tb at (0.000, 0.000, 0.000), Y at (0.000, 0.000, 0.500), Tm at (0.250, 0.250, 0.250) and Zn at (0.250, 0.250, 0.750).

Record 15
Density functional theory data (PBE) for ZrAgCl2 after structural relaxation.

For the energy relative to the elements, uncorrected, the calculation gives -0.44 eV per atom. For the energy relative to the lowest polymorph listed for this composition, the calculation gives 0.480 eV per atom.

The space group is C2/m (No. 12) and the conventional cell measures 6.351, 8.704 and 3.248 Å, with angles of 90.00, 114.41 and 90.00 degrees. The inequivalent atoms are Zr at (0.000, 0.000, 0.000), Ag at (0.000, 0.500, 0.000) and Cl at (0.250, 0.250, 0.000).

Record 16
Density functional theory data (PBE) for BaPtSe2 after structural relaxation.

For the energy relative to the elements, uncorrected, the calculation gives -0.60 eV per atom. For the energy relative to the lowest polymorph listed for this composition, the calculation gives 0.469 eV per atom.

The space group is Imm2 (No. 44) and the conventional cell measures 3.786, 4.112 and 13.316 Å, with angles of 90.00, 90.00 and 90.00 degrees. The inequivalent atoms are Ba at (0.000, 0.000, 0.000), Pt at (0.000, 0.500, 0.749), Se at (0.000, 0.000, 0.381) and Se at (0.000, 0.500, 0.191).

Record 17
Density functional theory data (PBE) for Pa2SbH2 after structural relaxation.

The calculation puts the total energy at -253.01 eV/cell.

The space group is Fddd (No. 70, origin choice 2) and the conventional cell measures 5.953, 10.172 and 11.209 Å, with angles of 90.00, 90.00 and 90.00 degrees. The inequivalent atoms are Pa at (0.125, 0.313, 0.125), Sb at (0.125, 0.125, 0.625) and H at (0.125, 0.125, 0.018).

Record 18
Density functional theory data (PBE) for K3Y3InSe8 after structural relaxation.

For the energy relative to the elements, uncorrected, the calculation gives -1.44 eV per atom.

The space group is C2/m (No. 12) and the conventional cell measures 14.300, 8.242 and 9.233 Å, with angles of 90.00, 121.13 and 90.00 degrees. The inequivalent atoms are K at (0.000, 0.000, 0.000), K at (0.250, 0.250, 0.000), Y at (0.000, 0.500, 0.500), Y at (0.250, 0.250, 0.500), In at (0.000, 0.000, 0.500), Se at (0.015, 0.247, 0.298), Se at (0.232, 0.000, 0.702) and Se at (0.235, 0.500, 0.706).

Record 19
Density functional theory data (PBE) for Y4ZnRh2 after structural relaxation.

As for the formation enthalpy at 0 K: -0.563 eV/atom.

The space group is P4/mmm (No. 123) and the conventional cell measures 4.878, 4.878 and 6.956 Å, with angles of 90.00, 90.00 and 90.00 degrees. The inequivalent atoms are Y at (0.000, 0.500, 0.247), Zn at (0.000, 0.000, 0.500), Rh at (0.000, 0.000, 0.000) and Rh at (0.500, 0.500, 0.500).

Record 20
Density functional theory data (PBE) for In3ReAg after structural relaxation.

For the energy relative to the lowest polymorph listed for this composition, the calculation gives 0.000 eV per atom. As for the formation enthalpy at 0 K: 0.656 eV/atom.

The space group is Pm-3m (No. 221) and the conventional cell measures 5.215, 5.215 and 5.215 Å, with angles of 90.00, 90.00 and 90.00 degrees. The inequivalent atoms are In at (0.000, 0.000, 0.500), Re at (0.000, 0.000, 0.000) and Ag at (0.500, 0.500, 0.500).

Record 21
Density functional theory data (PBE) for LaAgRu2 after structural relaxation.

For the energy relative to the lowest polymorph listed for this composition, the calculation gives 0.209 eV per atom. As for the formation enthalpy at 0 K: 0.397 eV/atom.

The space group is Fm-3m (No. 225) and the conventional cell measures 6.678, 6.678 and 6.678 Å, with angles of 90.00, 90.00 and 90.00 degrees. The inequivalent atoms are La at (0.000, 0.000, 0.000), Ag at (0.000, 0.000, 0.500) and Ru at (0.250, 0.250, 0.250).

Record 22
Density functional theory data (PBE) for Dy7Ge2Sb2 after structural relaxation.

For the energy relative to the elements, uncorrected, the calculation gives -0.35 eV per atom.

The space group is Cmmm (No. 65) and the conventional cell measures 8.774, 10.661 and 7.139 Å, with angles of 90.00, 90.00 and 90.00 degrees. The inequivalent atoms are Dy at (0.000, 0.000, 0.000), Dy at (0.000, 0.500, 0.270), Dy at (0.250, 0.250, 0.281), Ge at (0.209, 0.000, 0.500) and Sb at (0.000, 0.280, 0.000).

Record 23
Density functional theory data (PBE) for FeIrRu2 after structural relaxation.

For the energy relative to the lowest polymorph listed for this composition, the calculation gives 0.083 eV per atom. As for the formation enthalpy at 0 K: 0.084 eV/atom.

The space group is P4/mmm (No. 123) and the conventional cell measures 2.698, 2.698 and 7.422 Å, with angles of 90.00, 90.00 and 90.00 degrees. The inequivalent atoms are Fe at (0.000, 0.000, 0.000), Ir at (0.000, 0.000, 0.500) and Ru at (0.500, 0.500, 0.239).

Record 24
Density functional theory data (PBE) for ZrV3Rh after structural relaxation.

For the energy relative to the lowest polymorph listed for this composition, the calculation gives 0.000 eV per atom. As for the formation enthalpy at 0 K: 0.780 eV/atom.

The space group is Pm-3m (No. 221) and the conventional cell measures 4.580, 4.580 and 4.580 Å, with angles of 90.00, 90.00 and 90.00 degrees. The inequivalent atoms are Zr at (0.000, 0.000, 0.000), V at (0.000, 0.500, 0.500) and Rh at (0.500, 0.500, 0.500).

Record 25
Density functional theory data (PBE) for Hf2CoSb2 after structural relaxation.

For the energy relative to the elements, uncorrected, the calculation gives -0.09 eV per atom.

The space group is P4/mbm (No. 127) and the conventional cell measures 6.608, 6.608 and 4.579 Å, with angles of 90.00, 90.00 and 90.00 degrees. The inequivalent atoms are Hf at (0.163, 0.337, 0.000), Co at (0.000, 0.000, 0.500) and Sb at (0.153, 0.653, 0.500).